VCd2AsO6 | the Alexandria database | PBE+U | relaxed; energy = -55.33 eV/cell; volume = 14.3 Å³/atom; total magnetic moment = 0.0 μB per cell
1.0
5.475 0.000 0.000
0.000 5.475 0.000
0.000 0.000 4.779
V Cd As O
1 2 1 6
Direct
0.000 0.000 0.000
0.000 0.500 0.385
0.500 0.000 0.385
0.500 0.500 0.999
0.000 0.000 0.644
0.234 0.234 0.119
0.234 0.766 0.119
0.500 0.500 0.632
0.766 0.234 0.119
0.766 0.766 0.119